No. 1
A plane-wave DFT calculation with PBE was carried out for a relaxed RbIn2SnS6 crystal.

* formation energy from raw total energies: -0.475 eV per atom
* density of states at the Fermi level: 0.47 states/eV/f.u.
* crystal system: monoclinic
* E: -159.866 eV/cell

```
data_RbIn2SnS6
_chemical_formula_sum 'Rb4 In8 Sn4 S24'
_symmetry_space_group_name_H-M 'C 1 2/c 1'
_symmetry_Int_Tables_number 15
_symmetry_space_group_name_Hall '-C 2yc'
_cell_length_a 14.0427
_cell_length_b 12.8659
_cell_length_c 8.3063
_cell_angle_alpha 90.00
_cell_angle_beta 121.97
_cell_angle_gamma 90.00
loop_
_atom_site_label
_atom_site_fract_x
_atom_site_fract_y
_atom_site_fract_z
Rb1 0.0000 0.1790 0.2500
In1 0.1833 0.4254 0.0680
Sn1 0.0000 0.1575 0.7500
S1 0.1094 0.4510 0.3014
S2 0.1162 0.0481 0.6799
S3 0.1347 0.2384 0.0470
```

No. 2
A plane-wave DFT calculation with PBE was carried out for a relaxed SrHg3Cl crystal.

* relative energy among the computed polymorphs: 0 meV per atom
* formation energy from raw total energies: -0.134 eV per atom
* density of states at the Fermi level: 1.90 states/eV/f.u.
* crystal system: cubic
* E: -5.102 eV/cell

```
data_SrHg3Cl
_chemical_formula_sum 'Sr1 Hg3 Cl1'
_symmetry_space_group_name_H-M 'P m -3 m'
_symmetry_Int_Tables_number 221
_symmetry_space_group_name_Hall '-P 4 2 3'
_cell_length_a 6.4393
_cell_length_b 6.4393
_cell_length_c 6.4393
_cell_angle_alpha 90.00
_cell_angle_beta 90.00
_cell_angle_gamma 90.00
loop_
_atom_site_label
_atom_site_fract_x
_atom_site_fract_y
_atom_site_fract_z
Sr1 0.0000 0.0000 0.0000
Hg1 0.0000 0.0000 0.5000
Cl1 0.5000 0.5000 0.5000
```

No. 3
A plane-wave DFT calculation with PBE was carried out for a relaxed MgGa crystal.

* ΔH_f (0 K): 0.1 eV per formula unit
* density of states at the Fermi level: 0.63 states/eV/f.u.
* crystal system: tetragonal
* E: -17.890 eV/cell

```
data_MgGa
_chemical_formula_sum 'Mg4 Ga4'
_symmetry_space_group_name_H-M 'P 42/m n m'
_symmetry_Int_Tables_number 136
_symmetry_space_group_name_Hall '-P 4n 2n'
_cell_length_a 5.5486
_cell_length_b 5.5486
_cell_length_c 5.7179
_cell_angle_alpha 90.00
_cell_angle_beta 90.00
_cell_angle_gamma 90.00
loop_
_atom_site_label
_atom_site_fract_x
_atom_site_fract_y
_atom_site_fract_z
Mg1 0.1909 0.1909 0.0000
Ga1 0.1810 0.1810 0.5000
```

No. 4
A plane-wave DFT calculation with PBE was carried out for a relaxed CePr2Bi3 crystal.

* ΔH_f (0 K): -5.4 eV per formula unit
* density of states at the Fermi level: 7.73 states/eV/f.u.
* crystal system: orthorhombic
* E: -65.157 eV/cell

```
data_CePr2Bi3
_chemical_formula_sum 'Ce2 Pr4 Bi6'
_symmetry_space_group_name_H-M 'I m m m'
_symmetry_Int_Tables_number 71
_symmetry_space_group_name_Hall '-I 2 2'
_cell_length_a 4.6218
_cell_length_b 6.5384
_cell_length_c 13.8957
_cell_angle_alpha 90.00
_cell_angle_beta 90.00
_cell_angle_gamma 90.00
loop_
_atom_site_label
_atom_site_fract_x
_atom_site_fract_y
_atom_site_fract_z
Ce1 0.0000 0.0000 0.0000
Pr1 0.0000 0.0000 0.3327
Bi1 0.0000 0.5000 0.0000
Bi2 0.0000 0.5000 0.3362
```

No. 5
A plane-wave DFT calculation with PBE was carried out for a relaxed Th4As2IrAu crystal.

* ΔH_f (0 K): -8.0 eV per formula unit
* density of states at the Fermi level: 8.28 states/eV/f.u.
* crystal system: monoclinic
* E: -59.161 eV/cell

```
data_Th4As2IrAu
_chemical_formula_sum 'Th4 As2 Ir1 Au1'
_symmetry_space_group_name_H-M 'P 1 2/m 1'
_symmetry_Int_Tables_number 10
_symmetry_space_group_name_Hall '-P 2y'
_cell_length_a 7.1916
_cell_length_b 4.1614
_cell_length_c 7.6644
_cell_angle_alpha 90.00
_cell_angle_beta 107.68
_cell_angle_gamma 90.00
loop_
_atom_site_label
_atom_site_fract_x
_atom_site_fract_y
_atom_site_fract_z
Th1 0.2372 0.0000 0.2378
Th2 0.2370 0.5000 0.7547
As1 0.0000 0.0000 0.5000
As2 0.5000 0.5000 0.5000
Ir1 0.0000 0.5000 0.0000
Au1 0.5000 0.0000 0.0000
```

No. 6
A plane-wave DFT calculation with PBE was carried out for a relaxed KCd2NiSb crystal.

* formation energy from raw total energies: -0.086 eV per atom
* density of states at the Fermi level: 2.78 states/eV/f.u.
* crystal system: tetragonal
* E: -13.264 eV/cell

```
data_KCd2NiSb
_chemical_formula_sum 'K1 Cd2 Ni1 Sb1'
_symmetry_space_group_name_H-M 'P 4/m m m'
_symmetry_Int_Tables_number 123
_symmetry_space_group_name_Hall '-P 4 2'
_cell_length_a 5.1404
_cell_length_b 5.1404
_cell_length_c 4.9900
_cell_angle_alpha 90.00
_cell_angle_beta 90.00
_cell_angle_gamma 90.00
loop_
_atom_site_label
_atom_site_fract_x
_atom_site_fract_y
_atom_site_fract_z
K1 0.0000 0.0000 0.0000
Cd1 0.0000 0.5000 0.5000
Ni1 0.5000 0.5000 0.5000
Sb1 0.5000 0.5000 0.0000
```

No. 7
A plane-wave DFT calculation with PBE was carried out for a relaxed GeAsRhBr2 crystal.

* relative energy among the computed polymorphs: 0 meV per atom
* formation energy from raw total energies: 0.359 eV per atom
* density of states at the Fermi level: 6.04 states/eV/f.u.
* crystal system: tetragonal
* E: -18.170 eV/cell

```
data_GeAsRhBr2
_chemical_formula_sum 'Ge1 As1 Rh1 Br2'
_symmetry_space_group_name_H-M 'P 4/m m m'
_symmetry_Int_Tables_number 123
_symmetry_space_group_name_Hall '-P 4 2'
_cell_length_a 5.1327
_cell_length_b 5.1327
_cell_length_c 4.7544
_cell_angle_alpha 90.00
_cell_angle_beta 90.00
_cell_angle_gamma 90.00
loop_
_atom_site_label
_atom_site_fract_x
_atom_site_fract_y
_atom_site_fract_z
Ge1 0.0000 0.0000 0.0000
As1 0.5000 0.5000 0.0000
Rh1 0.5000 0.5000 0.5000
Br1 0.0000 0.5000 0.5000
```

No. 8
A plane-wave DFT calculation with PBE was carried out for a relaxed DyEr3Sc6 crystal.

* relative energy among the computed polymorphs: 246 meV per atom
* ΔH_f (0 K): 4.0 eV per formula unit
* density of states at the Fermi level: 21.65 states/eV/f.u.
* crystal system: trigonal
* E: -156.802 eV/cell

```
data_DyEr3Sc6
_chemical_formula_sum 'Dy3 Er9 Sc18'
_symmetry_space_group_name_H-M 'R 3'
_symmetry_Int_Tables_number 146
_symmetry_space_group_name_Hall 'R 3'
_cell_length_a 9.2098
_cell_length_b 9.2098
_cell_length_c 11.3087
_cell_angle_alpha 90.00
_cell_angle_beta 90.00
_cell_angle_gamma 120.00
loop_
_atom_site_label
_atom_site_fract_x
_atom_site_fract_y
_atom_site_fract_z
Dy1 0.0000 0.0000 0.0000
Er1 0.0000 0.0000 0.2527
Er2 0.0000 0.0000 0.5004
Er3 0.0000 0.0000 0.7520
Sc1 0.9998 0.3309 0.6601
Sc2 0.0014 0.6661 0.8266
```

- Which of these has the lowest density of states at the Fermi level?
  RbIn2SnS6